1.
Entry from Alexandria: a PBEsol-optimized structure of SrMg2Pt (meta-GGA SCAN).

Unit cell a=4.513 b=4.513 c=6.291 alpha=68.98 beta=68.98 gamma=60.00
Atoms (fractional coordinates):
1 Mg 0.297 0.297 0.110
2 Mg 0.703 0.703 0.890
3 Pt 0.000 0.000 0.000
4 Sr 0.500 0.500 0.500

Output
Its energy is -26.193 eV/atom. As for the total magnetization: 0.000 μB/atom. For the formation energy, the calculation gives -2.4 eV per formula unit.

2.
Entry from Alexandria: a PBEsol-optimized structure of SrMg2Pt (meta-GGA SCAN).

Unit cell a=4.866 b=5.144 c=5.144 alpha=64.72 beta=61.77 gamma=61.77
Atoms (fractional coordinates):
1 Mg 0.044 0.956 0.956
2 Mg 0.778 0.722 0.722
3 Pt 0.431 0.569 0.569
4 Sr 0.246 0.254 0.254

Output
Its energy is -26.002 eV/atom. As for the total magnetization: 0.000 μB/atom. For the formation energy, the calculation gives -1.6 eV per formula unit.

3.
Entry from Alexandria: a PBEsol-optimized structure of SrMg2Pt2 (meta-GGA SCAN).

Unit cell a=4.253 b=4.253 c=6.607 alpha=108.77 beta=108.77 gamma=90.00
Atoms (fractional coordinates):
1 Sr 0.000 0.000 0.000
2 Mg 0.250 0.750 0.500
3 Mg 0.750 0.250 0.500
4 Pt 0.389 0.389 0.778
5 Pt 0.611 0.611 0.222

Output
Its energy is -35.479 eV/atom. As for the total magnetization: 0.000 μB/atom. For the formation energy, the calculation gives -4.8 eV per formula unit.

4.
Entry from Alexandria: a PBEsol-optimized structure of Sr2MgPt (meta-GGA SCAN).

Unit cell a=4.516 b=4.516 c=8.143 alpha=73.90 beta=73.90 gamma=60.00
Atoms (fractional coordinates):
1 Sr 0.037 0.037 0.890
2 Sr 0.213 0.213 0.361
3 Mg 0.458 0.458 0.626
4 Pt 0.792 0.792 0.624

Output
Its energy is -30.567 eV/atom. As for the total magnetization: 0.000 μB/atom. For the formation energy, the calculation gives -2.5 eV per formula unit.

5.
Entry from Alexandria: a PBEsol-optimized structure of SrMgPt (meta-GGA SCAN).

Unit cell a=4.410 b=7.501 c=8.496 alpha=90.00 beta=90.00 gamma=90.00
Atoms (fractional coordinates):
1 Sr 0.750 0.472 0.823
2 Sr 0.250 0.028 0.323
3 Sr 0.250 0.528 0.177
4 Sr 0.750 0.972 0.677
5 Mg 0.250 0.638 0.563
6 Mg 0.750 0.362 0.437
7 Mg 0.750 0.862 0.063
8 Mg 0.250 0.138 0.937
9 Pt 0.750 0.221 0.119
10 Pt 0.750 0.721 0.381
11 Pt 0.250 0.779 0.881
12 Pt 0.250 0.279 0.619

Output
Its energy is -33.380 eV/atom. As for the total magnetization: 0.000 μB/atom. For the formation energy, the calculation gives -2.7 eV per formula unit.

6.
Entry from Alexandria: a PBEsol-optimized structure of SrMgPt3 (meta-GGA SCAN).

Unit cell a=4.710 b=4.710 c=4.710 alpha=90.00 beta=90.00 gamma=90.00
Atoms (fractional coordinates):
1 Sr 0.500 0.500 0.500
2 Mg 0.000 0.000 0.000
3 Pt 0.000 0.500 0.000
4 Pt 0.000 0.000 0.500
5 Pt 0.500 0.000 0.000

Output
Its energy is -47.662 eV/atom. As for the total magnetization: 0.000 μB/atom. For the formation energy, the calculation gives -0.5 eV per formula unit.

7.
Entry from Alexandria: a PBEsol-optimized structure of MgTa2Pt (meta-GGA SCAN).

Unit cell a=4.566 b=4.566 c=4.566 alpha=60.00 beta=60.00 gamma=60.00
Atoms (fractional coordinates):
1 Mg 0.500 0.500 0.500
2 Pt 0.750 0.750 0.750
3 Ta 0.000 0.000 0.000
4 Ta 0.250 0.250 0.250

Output
Its energy is -52.191 eV/atom. As for the total magnetization: 0.155 μB/atom. For the formation energy, the calculation gives -0.4 eV per formula unit.

8.
Entry from Alexandria: a PBEsol-optimized structure of MgTa3Pt (meta-GGA SCAN).

Unit cell a=4.871 b=4.871 c=4.871 alpha=90.00 beta=90.00 gamma=90.00
Atoms (fractional coordinates):
1 Mg 0.500 0.500 0.500
2 Pt 0.000 0.000 0.000
3 Ta 0.000 0.500 0.000
4 Ta 0.000 0.000 0.500
5 Ta 0.500 0.000 0.000

Output
Its energy is -53.980 eV/atom. As for the total magnetization: 0.000 μB/atom. For the formation energy, the calculation gives 5.0 eV per formula unit.

9.
Entry from Alexandria: a PBEsol-optimized structure of MgTaPt (meta-GGA SCAN).

Unit cell a=2.804 b=4.182 c=4.877 alpha=115.39 beta=106.71 gamma=90.00
Atoms (fractional coordinates):
1 Mg 0.005 0.005 0.009
2 Pt 0.665 0.665 0.330
3 Ta 0.330 0.330 0.661

Output
Its energy is -47.602 eV/atom. As for the total magnetization: 0.000 μB/atom. For the formation energy, the calculation gives -1.1 eV per formula unit.

10.
Entry from Alexandria: a PBEsol-optimized structure of MgTa2Pt (meta-GGA SCAN).

Unit cell a=2.810 b=4.293 c=5.535 alpha=90.00 beta=90.00 gamma=90.00
Atoms (fractional coordinates):
1 Mg 0.500 0.500 0.000
2 Pt 0.500 0.500 0.500
3 Ta 0.000 0.000 0.747
4 Ta 0.000 0.000 0.253

Output
Its energy is -52.296 eV/atom. As for the total magnetization: 0.000 μB/atom. For the formation energy, the calculation gives -0.9 eV per formula unit.

11.
Entry from Alexandria: a PBEsol-optimized structure of MgTa2Pt (meta-GGA SCAN).

Unit cell a=2.936 b=3.756 c=6.138 alpha=90.00 beta=90.00 gamma=90.00
Atoms (fractional coordinates):
1 Mg 0.000 0.000 0.520
2 Pt 0.500 0.500 0.740
3 Ta 0.000 0.000 0.996
4 Ta 0.500 0.500 0.244

Output
Its energy is -52.364 eV/atom. As for the total magnetization: 0.000 μB/atom. For the formation energy, the calculation gives -1.1 eV per formula unit.

12.
Entry from Alexandria: a PBEsol-optimized structure of Mg2TcPt (meta-GGA SCAN).

Unit cell a=2.703 b=5.224 c=5.224 alpha=114.61 beta=101.96 gamma=101.96
Atoms (fractional coordinates):
1 Mg 0.000 0.500 0.000
2 Mg 0.000 0.000 0.500
3 Pt 0.500 0.000 0.000
4 Tc 0.500 0.500 0.500

Output
Its energy is -29.043 eV/atom. As for the total magnetization: 0.000 μB/atom. For the formation energy, the calculation gives -1.0 eV per formula unit. The energy above the lowest structure with this stoichiometry is 0 meV per atom.

13.
Entry from Alexandria: a PBEsol-optimized structure of Mg2TcPt (meta-GGA SCAN).

Unit cell a=3.938 b=3.938 c=4.906 alpha=113.66 beta=113.66 gamma=90.00
Atoms (fractional coordinates):
1 Mg 0.750 0.250 0.500
2 Mg 0.250 0.750 0.500
3 Pt 0.500 0.500 0.000
4 Tc 0.000 0.000 0.000

Output
Its energy is -28.970 eV/atom. As for the total magnetization: 0.146 μB/atom. For the formation energy, the calculation gives -0.7 eV per formula unit. The energy above the lowest structure with this stoichiometry is 73 meV per atom.

14.
Entry from Alexandria: a PBEsol-optimized structure of YMg2TcPt (meta-GGA SCAN).

Unit cell a=4.454 b=5.228 c=5.228 alpha=90.00 beta=90.00 gamma=90.00
Atoms (fractional coordinates):
1 Y 0.000 0.000 0.000
2 Mg 0.000 0.000 0.500
3 Mg 0.000 0.500 0.000
4 Tc 0.500 0.000 0.000
5 Pt 0.500 0.500 0.500

Output
Its energy is -26.840 eV/atom. As for the total magnetization: 0.000 μB/atom. For the formation energy, the calculation gives 8.8 eV per formula unit.

15.
Entry from Alexandria: a PBEsol-optimized structure of Mg2TePt (meta-GGA SCAN).

Unit cell a=3.782 b=4.489 c=4.489 alpha=90.00 beta=90.00 gamma=90.00
Atoms (fractional coordinates):
1 Mg 0.000 0.000 0.500
2 Mg 0.000 0.500 0.000
3 Pt 0.500 0.500 0.500
4 Te 0.500 0.000 0.000

Output
Its energy is -29.895 eV/atom. As for the total magnetization: 0.000 μB/atom. The formation energy from raw total energies is -0.5475 eV/atom.

16.
Entry from Alexandria: a PBEsol-optimized structure of MgTePt3 (meta-GGA SCAN).

Unit cell a=4.894 b=4.894 c=4.894 alpha=90.00 beta=90.00 gamma=90.00
Atoms (fractional coordinates):
1 Mg 0.500 0.500 0.500
2 Te 0.000 0.000 0.000
3 Pt 0.000 0.500 0.000
4 Pt 0.000 0.000 0.500
5 Pt 0.500 0.000 0.000

Output
Its energy is -50.142 eV/atom. As for the total magnetization: 0.000 μB/atom. The formation energy from raw total energies is 0.4186 eV/atom.

17.
Entry from Alexandria: a PBEsol-optimized structure of Mg2TePt (meta-GGA SCAN).

Unit cell a=4.274 b=4.274 c=6.086 alpha=69.44 beta=69.44 gamma=60.00
Atoms (fractional coordinates):
1 Mg 0.021 0.021 0.936
2 Mg 0.815 0.815 0.554
3 Pt 0.412 0.412 0.763
4 Te 0.251 0.251 0.247

Output
Its energy is -30.019 eV/atom. As for the total magnetization: 0.000 μB/atom. The formation energy from raw total energies is -0.6706 eV/atom.

18.
Entry from Alexandria: a PBEsol-optimized structure of MgTePt2 (meta-GGA SCAN).

Unit cell a=3.805 b=4.275 c=4.275 alpha=90.00 beta=90.00 gamma=90.00
Atoms (fractional coordinates):
1 Mg 0.500 0.000 0.000
2 Pt 0.000 0.000 0.500
3 Pt 0.000 0.500 0.000
4 Te 0.500 0.500 0.500

Output
Its energy is -46.074 eV/atom. As for the total magnetization: 0.000 μB/atom. The formation energy from raw total energies is -0.4215 eV/atom.

19.
Entry from Alexandria: a PBEsol-optimized structure of Mg2TiPt (meta-GGA SCAN).

Unit cell a=5.272 b=5.989 c=5.989 alpha=78.83 beta=63.89 gamma=63.89
Atoms (fractional coordinates):
1 Mg 0.875 0.043 0.457
2 Mg 0.375 0.957 0.543
3 Mg 0.668 0.457 0.957
4 Mg 0.082 0.543 0.043
5 Pt 0.000 0.000 0.000
6 Pt 0.750 0.500 0.500
7 Ti 0.500 0.000 0.000
8 Ti 0.250 0.500 0.500

Output
Its energy is -24.191 eV/atom. As for the total magnetization: 0.390 μB/atom. For the formation energy, the calculation gives -0.6 eV per formula unit.

20.
Entry from Alexandria: a PBEsol-optimized structure of MgTl2Pt (meta-GGA SCAN).

Unit cell a=3.421 b=4.816 c=5.193 alpha=90.00 beta=93.78 gamma=90.00
Atoms (fractional coordinates):
1 Mg 0.500 0.500 0.000
2 Pt 0.000 0.500 0.500
3 Tl 0.781 0.000 0.742
4 Tl 0.219 0.000 0.258

Output
Its energy is -54.997 eV/atom. As for the total magnetization: 0.000 μB/atom. For the formation energy, the calculation gives -0.1 eV per formula unit. The energy above the lowest structure with this stoichiometry is 209 meV per atom.

21.
Entry from Alexandria: a PBEsol-optimized structure of Mg2TlPt (meta-GGA SCAN).

Unit cell a=3.173 b=3.173 c=7.651 alpha=90.00 beta=90.00 gamma=90.00
Atoms (fractional coordinates):
1 Tl 0.500 0.500 0.500
2 Mg 0.000 0.000 0.798
3 Mg 0.000 0.000 0.202
4 Pt 0.500 0.500 0.000

Output
Its energy is -38.698 eV/atom. As for the total magnetization: 0.000 μB/atom. For the formation energy, the calculation gives -2.3 eV per formula unit.

22.
Entry from Alexandria: a PBEsol-optimized structure of MgTl2Pt (meta-GGA SCAN).

Unit cell a=4.875 b=4.875 c=4.875 alpha=60.00 beta=60.00 gamma=60.00
Atoms (fractional coordinates):
1 Mg 0.000 0.000 0.000
2 Pt 0.500 0.500 0.500
3 Tl 0.250 0.250 0.250
4 Tl 0.750 0.750 0.750

Output
Its energy is -54.963 eV/atom. As for the total magnetization: 0.000 μB/atom. For the formation energy, the calculation gives 0.0 eV per formula unit. The energy above the lowest structure with this stoichiometry is 244 meV per atom.

23.
Entry from Alexandria: a PBEsol-optimized structure of MgTl2Pt (meta-GGA SCAN).

Unit cell a=3.326 b=3.326 c=7.892 alpha=90.00 beta=90.00 gamma=90.00
Atoms (fractional coordinates):
1 Mg 0.000 0.000 0.556
2 Pt 0.500 0.500 0.718
3 Tl 0.000 0.000 0.952
4 Tl 0.500 0.500 0.275

Output
Its energy is -55.207 eV/atom. As for the total magnetization: 0.000 μB/atom. For the formation energy, the calculation gives -0.9 eV per formula unit. The energy above the lowest structure with this stoichiometry is 0 meV per atom.

24.
Entry from Alexandria: a PBEsol-optimized structure of TmMgPt2 (meta-GGA SCAN).

Unit cell a=4.649 b=4.649 c=4.649 alpha=60.00 beta=60.00 gamma=60.00
Atoms (fractional coordinates):
1 Mg 0.000 0.000 0.000
2 Tm 0.500 0.500 0.500
3 Pt 0.250 0.250 0.250
4 Pt 0.750 0.750 0.750

Output
Its energy is -50.533 eV/atom. As for the total magnetization: 0.000 μB/atom. For the formation energy, the calculation gives -4.9 eV per formula unit.

25.
Entry from Alexandria: a PBEsol-optimized structure of Mg2PtW (meta-GGA SCAN).

Unit cell a=2.851 b=4.717 c=4.837 alpha=90.00 beta=90.00 gamma=90.00
Atoms (fractional coordinates):
1 Mg 0.000 0.000 0.000
2 Mg 0.500 0.000 0.500
3 Pt 0.500 0.500 0.000
4 W 0.000 0.500 0.500

Output
Its energy is -37.428 eV/atom. As for the total magnetization: 0.000 μB/atom. For the formation energy, the calculation gives 0.1 eV per formula unit. The energy above the lowest structure with this stoichiometry is 164 meV per atom.

26.
Entry from Alexandria: a PBEsol-optimized structure of Mg2PtW (meta-GGA SCAN).

Unit cell a=4.503 b=4.503 c=4.503 alpha=60.00 beta=60.00 gamma=60.00
Atoms (fractional coordinates):
1 Mg 0.250 0.250 0.250
2 Mg 0.750 0.750 0.750
3 Pt 0.000 0.000 0.000
4 W 0.500 0.500 0.500

Output
Its energy is -37.278 eV/atom. As for the total magnetization: 0.645 μB/atom. For the formation energy, the calculation gives 0.7 eV per formula unit. The energy above the lowest structure with this stoichiometry is 314 meV per atom.

27.
Entry from Alexandria: a PBEsol-optimized structure of Mg2PtW (meta-GGA SCAN).

Unit cell a=2.838 b=2.838 c=8.535 alpha=90.00 beta=90.00 gamma=90.00
Atoms (fractional coordinates):
1 Mg 0.000 0.000 0.976
2 Mg 0.500 0.500 0.287
3 Pt 0.000 0.000 0.510
4 W 0.500 0.500 0.728

Output
Its energy is -37.592 eV/atom. As for the total magnetization: 0.011 μB/atom. For the formation energy, the calculation gives -0.5 eV per formula unit. The energy above the lowest structure with this stoichiometry is 0 meV per atom.

28.
Entry from Alexandria: a PBEsol-optimized structure of Mg2PtW (meta-GGA SCAN).

Unit cell a=3.944 b=3.944 c=4.152 alpha=90.00 beta=90.00 gamma=90.00
Atoms (fractional coordinates):
1 Mg 0.000 0.500 0.000
2 Mg 0.500 0.000 0.000
3 Pt 0.500 0.500 0.500
4 W 0.000 0.000 0.500

Output
Its energy is -37.443 eV/atom. As for the total magnetization: 0.233 μB/atom. For the formation energy, the calculation gives 0.1 eV per formula unit. The energy above the lowest structure with this stoichiometry is 148 meV per atom.

29.
Entry from Alexandria: a PBEsol-optimized structure of Mg2PtW (meta-GGA SCAN).

Unit cell a=4.517 b=4.517 c=4.517 alpha=60.00 beta=60.00 gamma=60.00
Atoms (fractional coordinates):
1 Mg 0.000 0.000 0.000
2 Mg 0.750 0.750 0.750
3 Pt 0.500 0.500 0.500
4 W 0.250 0.250 0.250

Output
Its energy is -37.381 eV/atom. As for the total magnetization: 0.463 μB/atom. For the formation energy, the calculation gives 0.3 eV per formula unit. The energy above the lowest structure with this stoichiometry is 210 meV per atom.

30.
Entry from Alexandria: a PBEsol-optimized structure of MgPtW (meta-GGA SCAN).

Unit cell a=2.829 b=2.829 c=6.953 alpha=90.00 beta=90.00 gamma=120.00
Atoms (fractional coordinates):
1 Mg 0.000 0.000 0.989
2 Pt 0.667 0.333 0.661
3 W 0.333 0.667 0.349

Output
Its energy is -48.256 eV/atom. As for the total magnetization: 0.000 μB/atom. For the formation energy, the calculation gives 0.1 eV per formula unit.